# MnHPdNO

A relaxed structure of MnHPdNO (PBE with a Hubbard U, Alexandria via LeMat-Bulk).

Geometry as CIF:
```
data_MnHPdNO
_cell_length_a 2.975
_cell_length_b 4.265
_cell_length_c 9.452
_cell_angle_alpha 90.00
_cell_angle_beta 90.00
_cell_angle_gamma 90.00
_symmetry_space_group_name_H-M 'A m m 2'
_symmetry_Int_Tables_number 38
loop_
_symmetry_equiv_pos_as_xyz
'x,y,z'
'-x,-y,z'
'-x,y,z'
'x,-y,z'
'x,y+1/2,z+1/2'
'-x,-y+1/2,z+1/2'
'-x,y+1/2,z+1/2'
'x,-y+1/2,z+1/2'
loop_
_atom_site_label
_atom_site_type_symbol
_atom_site_fract_x
_atom_site_fract_y
_atom_site_fract_z
Mn1 Mn 0.000 0.000 0.000
H1 H 0.500 0.000 0.748
Pd1 Pd 0.500 0.000 0.365
N1 N 0.500 0.000 0.857
O1 O 0.500 0.000 0.131
```

E_tot, eV per atom: -6.12